## YCdMo2 (PBE)

Data for an optimized crystal structure of YCdMo2.

Results
Its volume is 19.800 A^3/atom. As for the space group: Immm. The total energy comes out at -27.069 eV/cell.

Structure (POSCAR):
```
YCdMo2
1.0
5.626 -0.008 -0.001
2.653 4.961 0.001
-3.838 -2.980 2.835
Cd Mo Y
1 2 1
direct
0.250 0.750 0.500 Cd
0.001 0.001 0.000 Mo
0.499 0.499 0.000 Mo
0.750 0.250 0.500 Y
```

---

## YCdMo (PBE)

Data for an optimized crystal structure of YCdMo.

Results
Its volume is 26.397 A^3/atom. Its energy above the most stable polymorph in this dataset is 483.7 meV per atom. As for the space group: F-43m. The total energy comes out at -15.747 eV/cell.

Structure (POSCAR):
```
YCdMo
1.0
4.820 0.000 0.000
2.410 4.174 0.000
2.410 1.391 3.936
Cd Mo Y
1 1 1
direct
0.500 0.500 0.500 Cd
0.750 0.750 0.750 Mo
0.000 0.000 0.000 Y
```

---

## YCdMo2 (PBE)

Data for an optimized crystal structure of YCdMo2.

Results
Its volume is 19.424 A^3/atom. As for the space group: P4/mmm. The total energy comes out at -26.861 eV/cell.

Structure (POSCAR):
```
YCdMo2
1.0
2.844 0.000 0.000
0.000 2.844 0.000
0.000 0.000 9.603
Cd Mo Y
1 2 1
direct
0.500 0.500 0.750 Cd
0.000 0.000 0.987 Mo
0.000 0.000 0.513 Mo
0.500 0.500 0.250 Y
```

---

## YCdMo2 (PBE)

Data for an optimized crystal structure of YCdMo2.

Results
Its volume is 21.296 A^3/atom. As for the space group: P4/mmm. The total energy comes out at -27.044 eV/cell.

Structure (POSCAR):
```
YCdMo2
1.0
3.638 0.000 0.000
0.000 3.638 0.000
0.000 0.000 6.436
Cd Mo Y
1 2 1
direct
0.500 0.500 0.750 Cd
0.000 0.000 0.931 Mo
0.000 0.000 0.569 Mo
0.500 0.500 0.250 Y
```

---

## YCd4Mo (PBE)

Data for an optimized crystal structure of YCd4Mo.

Results
Its volume is 21.807 A^3/atom. As for the space group: F-43m. The total energy comes out at -19.870 eV/cell.

Structure (POSCAR):
```
YCd4Mo
1.0
4.442 -1.484 3.247
2.319 3.795 3.563
-0.660 -0.602 5.628
Y Cd Mo
1 4 1
direct
0.000 0.000 0.000 Y
0.376 0.873 0.376 Cd
0.873 0.376 0.376 Cd
0.376 0.376 0.873 Cd
0.376 0.376 0.376 Cd
0.750 0.750 0.750 Mo
```

---

## YCdMo2 (PBE)

Data for an optimized crystal structure of YCdMo2.

Results
Its volume is 19.968 A^3/atom. As for the space group: Cmm2. The total energy comes out at -27.876 eV/cell.

Structure (POSCAR):
```
YCdMo2
1.0
2.977 0.000 0.000
-1.096 2.768 0.000
0.000 0.000 9.694
Cd Mo Y
1 2 1
direct
0.500 0.500 0.771 Cd
0.000 0.000 0.025 Mo
0.500 0.500 0.223 Mo
0.000 0.000 0.481 Y
```

---

## YCdMo2 (PBE)

Data for an optimized crystal structure of YCdMo2.

Results
Its volume is 19.979 A^3/atom. As for the space group: Cm. The total energy comes out at -27.142 eV/cell.

Structure (POSCAR):
```
YCdMo2
1.0
4.955 -0.004 -0.004
4.130 2.738 -0.004
0.325 0.098 5.883
Cd Mo Y
1 2 1
direct
0.253 0.253 0.230 Cd
0.989 0.989 0.977 Mo
0.751 0.751 0.787 Mo
0.506 0.506 0.506 Y
```

---

## YCdMo (PBE)

Data for an optimized crystal structure of YCdMo.

Results
Its volume is 21.464 A^3/atom. Its energy above the most stable polymorph in this dataset is 66.2 meV per atom. As for the space group: P3m1. The total energy comes out at -16.999 eV/cell.

Structure (POSCAR):
```
YCdMo
1.0
5.067 0.000 0.000
-2.534 4.388 0.000
0.000 0.000 2.896
Cd Mo Y
1 1 1
direct
0.000 0.000 0.128 Cd
0.667 0.333 0.204 Mo
0.333 0.667 0.668 Y
```

---

## YCdMo2 (PBE)

Data for an optimized crystal structure of YCdMo2.

Results
Its volume is 19.477 A^3/atom. As for the space group: F-43m. The total energy comes out at -27.598 eV/cell.

Structure (POSCAR):
```
YCdMo2
1.0
-4.272 -1.156 1.848
2.140 -2.921 3.144
1.326 4.599 -0.293
Cd Mo Y
1 2 1
direct
0.750 0.250 0.500 Cd
0.000 0.000 0.000 Mo
0.250 0.750 0.500 Mo
0.500 0.500 0.000 Y
```

---

## YCd3Mo (PBE)

Data for an optimized crystal structure of YCd3Mo.

Results
Its volume is 27.760 A^3/atom. Its energy above the most stable polymorph in this dataset is 0.0 meV per atom. As for the space group: Pm-3m. The total energy comes out at -16.492 eV/cell.

Structure (POSCAR):
```
YCd3Mo
1.0
5.178 0.000 0.000
0.000 5.178 0.000
0.000 0.000 5.178
Y Mo Cd
1 1 3
direct
0.500 0.500 0.500 Y
0.000 0.000 0.000 Mo
0.000 0.500 0.000 Cd
0.000 0.000 0.500 Cd
0.500 0.000 0.000 Cd
```

---

## Y3CdMo (PBE)

Data for an optimized crystal structure of Y3CdMo.

Results
Its volume is 31.160 A^3/atom. Its energy above the most stable polymorph in this dataset is 0.0 meV per atom. As for the space group: Pm-3m. The total energy comes out at -29.183 eV/cell.

Structure (POSCAR):
```
Y3CdMo
1.0
-4.310 2.496 2.037
-2.541 -4.725 0.412
1.980 -0.632 4.963
Y Mo Cd
3 1 1
direct
0.000 0.500 0.000 Y
0.000 0.000 0.500 Y
0.500 0.000 0.000 Y
0.000 0.000 0.000 Mo
0.500 0.500 0.500 Cd
```

---

## Y2CdMo (PBE)

Data for an optimized crystal structure of Y2CdMo.

Results
Its volume is 24.137 A^3/atom. As for the space group: Cm. The total energy comes out at -23.863 eV/cell.

Structure (POSCAR):
```
Y2CdMo
1.0
5.977 0.000 0.011
5.094 3.126 0.011
1.517 0.428 5.171
Cd Mo Y
1 1 2
direct
0.529 0.529 0.521 Cd
0.231 0.231 0.215 Mo
0.971 0.971 0.063 Y
0.769 0.769 0.701 Y
```